Ga2SnIrCl | Alexandria | PBE | relaxed; crystal system = tetragonal; symmetry = P4/mmm, No. 123; formation energy (no corrections) = -0.523 eV per atom
1.0
-0.7521 1.4215 4.5812
2.2000 -4.0184 1.6081
4.4756 2.4412 -0.0227
Ir Sn Ga Cl
1 1 2 1
Cartesian
0.0000 0.0000 0.0000
2.2378 1.2206 -0.0113
1.1000 -2.0092 0.8040
-0.3761 0.7107 2.2906
2.9617 -0.0778 3.0833



AgBi3Ru | Alexandria | PBE | relaxed; crystal system = cubic; formation energy = 0.537 eV/atom; symmetry = Pm-3m, No. 221; energy above the most stable polymorph in this dataset = 0 meV per atom
1.0
5.2854 0.0000 0.0000
0.0000 5.2854 0.0000
0.0000 0.0000 5.2854
Ru Bi Ag
1 3 1
Cartesian
0.0000 0.0000 0.0000
0.0000 2.6427 0.0000
0.0000 0.0000 2.6427
2.6427 0.0000 0.0000
2.6427 2.6427 2.6427



Tb6TlSe2S3 | Alexandria | PBE | relaxed; crystal system = monoclinic; symmetry = C2/m, No. 12; formation energy (no corrections) = -1.626 eV per atom
1.0
3.9759 0.0000 0.0000
0.0000 8.3049 0.2806
-1.9879 -2.4118 8.5775
Tb Tl Se S
6 1 2 3
Cartesian
0.0000 6.1261 5.8781
1.9879 4.1609 2.9268
1.9879 -0.2330 2.9800
1.9879 -0.1514 8.6111
0.0000 6.0444 0.2470
0.0000 1.7321 5.9313
1.9879 0.0000 0.0000
1.9879 3.9050 5.8516
0.0000 1.9880 3.0065
1.9879 4.1524 0.1403
1.9879 -0.1990 5.7539
0.0000 6.0920 3.1042



Ti2Tc2Te | Alexandria | PBE | relaxed; crystal system = tetragonal; symmetry = P4/mbm, No. 127; formation energy (no corrections) = 0.033 eV per atom; energy above the most stable polymorph in this dataset = 0 meV per atom
1.0
7.3281 0.0000 0.0000
0.0000 7.3281 0.0000
0.0000 0.0000 3.2070
Te Tc Ti
2 4 4
Cartesian
0.0000 0.0000 0.0000
3.6641 3.6641 0.0000
2.6109 6.2750 0.0000
6.2750 4.7172 0.0000
4.7172 1.0531 0.0000
1.0531 2.6109 0.0000
1.0735 4.7375 1.6035
4.7375 6.2546 1.6035
6.2546 2.5906 1.6035
2.5906 1.0735 1.6035